This record from the Alexandria database describes a relaxed Ag2RhBr2 crystal. The functional is PBE.

```
5
Lattice="3.760 0.000 0.000 0.000 3.760 0.000 1.880 1.880 8.057" Properties=species:S:1:pos:R:3 pbc="T T T"
Ag 3.760 1.880 4.028
Ag 1.880 3.760 4.028
Br 3.760 3.760 6.490
Br 1.880 1.880 1.567
Rh 0.000 0.000 0.000
```

Computed properties:
**Energy relative to the elements, uncorrected**: 538 meV per atom
**M_tot**: 1.6 μB per cell
**Uncorrected energy**: -0.202 Ry/atom
**Energy above the most stable polymorph in this dataset**: 0.229 eV per atom

This record from the Alexandria database describes a relaxed MgAgPt2 crystal. The functional is PBE.

```
4
Lattice="5.516 0.017 0.018 2.727 4.795 -0.018 -3.539 -3.404 2.513" Properties=species:S:1:pos:R:3 pbc="T T T"
Pt 0.025 0.014 0.000
Pt 3.102 -0.460 1.266
Ag 4.121 2.406 0.000
Mg 1.577 1.853 1.247
```

Computed properties:
**E_form**: -1.3 eV/f.u.
**M_tot**: 0.0 μB per cell
**Uncorrected energy**: -0.328 Ry/atom

This record from the Alexandria database describes a relaxed Rb2TlGaF6 crystal. The functional is PBE.

```
10
Lattice="-2.634 0.168 -5.925 -0.055 -5.342 -3.678 -5.587 -3.086 -1.154" Properties=species:S:1:pos:R:3 pbc="T T T"
Tl -4.138 -4.130 -5.378
Ga 0.000 0.000 0.000
F -3.299 -4.734 -7.823
F -4.977 -3.525 -2.933
F -6.501 -3.428 -6.362
F -1.774 -4.831 -4.394
F -3.267 -1.642 -5.694
F -5.008 -6.618 -5.062
Rb -2.069 -2.065 -2.689
Rb -6.207 -6.194 -8.067
```

Computed properties:
**Energy relative to the elements, uncorrected**: -2586 meV per atom
**M_tot**: 0.0 μB per cell
**Uncorrected energy**: -0.326 Ry/atom